1.
Compound: LaPrPdI
Source: the Alexandria database
Functional: GGA-PBE
Structure: relaxed

Results
electronic total energy	-5.015	eV/atom
formation energy without anion corrections	-902	meV per atom
total magnetic moment	0.0	μB per formula unit
V	33.0	Å³ per atom

POSCAR file:
```
LaPrPdI
1.0
4.302 0.000 0.000
-2.150 3.726 0.000
-2.151 -1.242 8.241
I Pd La Pr
1 1 1 1
Direct
0.969 0.383 0.367
0.304 0.550 0.869
0.096 0.946 0.057
0.509 0.152 0.677
```

2.
Compound: Ce2Al5Ni4
Source: the Alexandria database
Functional: GGA-PBE
Structure: relaxed

Results
electronic total energy	-5.414	eV/atom
total magnetic moment	0.3	μB per formula unit
energy relative to the elements	-0.53	eV/atom
V	16.9	Å³ per atom

POSCAR file:
```
Ce2Al5Ni4
1.0
-4.473 -2.622 -0.886
-0.246 -5.204 1.027
-4.537 0.205 6.685
Ni Al Ce
4 5 2
Direct
0.481 0.301 0.736
0.218 0.301 0.264
0.782 0.699 0.736
0.519 0.699 0.264
0.500 0.000 0.000
0.000 0.500 0.000
0.750 0.500 0.500
0.500 0.500 0.000
0.250 0.500 0.500
0.866 0.000 0.268
0.134 0.000 0.732
```

3.
Compound: CdRu
Source: the Alexandria database
Functional: GGA-PBE
Structure: relaxed

Results
electronic total energy	-4.661	eV/atom
total magnetic moment	0.9	μB per formula unit
energy relative to the elements	0.43	eV/atom
V	16.9	Å³ per atom

POSCAR file:
```
CdRu
1.0
-2.135 -0.067 -1.921
1.085 -2.453 1.028
-3.161 0.074 3.511
Ru Cd
1 1
Direct
0.333 0.667 0.500
0.000 0.000 0.000
```

4.
Compound: TaSn3W
Source: the Alexandria database
Functional: GGA-PBE
Structure: relaxed

Results
electronic total energy	-5.953	eV/atom
total magnetic moment	2.7	μB per formula unit
energy relative to the elements	1.41	eV/atom
V	28.4	Å³ per atom
distance to the lowest polymorph of the same formula	0.00	eV per formula unit

POSCAR file:
```
TaSn3W
1.0
5.214 0.000 0.000
0.000 5.214 0.000
0.000 0.000 5.214
Ta Sn W
1 3 1
Direct
0.500 0.500 0.500
0.000 0.000 0.500
0.500 0.000 0.000
0.000 0.500 0.000
0.000 0.000 0.000
```

5.
Compound: NpCu2I8
Source: the Alexandria database
Functional: GGA-PBE
Structure: relaxed

Results
electronic total energy	-3.422	eV/atom
formation energy without anion corrections	-373	meV per atom
total magnetic moment	0.8	μB per formula unit
V	43.2	Å³ per atom

POSCAR file:
```
NpCu2I8
1.0
-6.699 -0.201 -1.535
2.154 -0.311 -9.355
-0.624 -7.026 5.020
I Cu Np
8 2 1
Direct
0.730 0.836 0.672
0.771 0.308 0.176
0.270 0.164 0.328
0.229 0.132 0.824
0.229 0.692 0.824
0.722 0.350 0.700
0.771 0.868 0.176
0.278 0.650 0.300
0.334 0.823 0.645
0.666 0.177 0.355
0.000 0.000 0.000
```

6.
Compound: ZrPb2Se
Source: the Alexandria database
Functional: GGA-PBE
Structure: relaxed

Results
electronic total energy	-5.303	eV/atom
formation energy without anion corrections	-440	meV per atom
total magnetic moment	0.0	μB per formula unit
V	27.7	Å³ per atom

POSCAR file:
```
ZrPb2Se
1.0
-0.548 -6.587 7.828
2.987 -6.517 7.320
1.421 -4.007 9.322
Pb Zr Se
2 1 1
Direct
0.248 0.248 0.248
0.011 0.011 0.011
0.760 0.760 0.760
0.481 0.481 0.481
```

7.
Compound: RbLi2ZnPd
Source: the Alexandria database
Functional: GGA-PBE
Structure: relaxed

Results
electronic total energy	-2.346	eV/atom
total magnetic moment	0.0	μB per formula unit
energy relative to the elements	-0.09	eV/atom
V	25.8	Å³ per atom

POSCAR file:
```
RbLi2ZnPd
1.0
-2.356 0.320 4.454
-4.310 -1.482 -2.173
1.172 -4.825 0.966
Rb Zn Li Pd
1 1 2 1
Direct
0.500 0.500 0.500
0.000 0.000 0.500
0.000 0.500 0.000
0.500 0.000 0.000
0.000 0.000 0.000
```

8.
Compound: LiTiIn
Source: the Alexandria database
Functional: GGA-PBE
Structure: relaxed

Results
electronic total energy	-4.278	eV/atom
total magnetic moment	0.4	μB per formula unit
energy relative to the elements	-0.10	eV/atom
V	18.1	Å³ per atom
distance to the lowest polymorph of the same formula	0.23	eV per formula unit

POSCAR file:
```
LiTiIn
1.0
7.681 0.000 -0.004
0.000 3.253 0.000
-1.329 0.000 4.344
In Li Ti
2 2 2
Direct
0.675 0.500 0.339
0.325 0.500 0.661
0.346 0.000 0.172
0.654 0.000 0.828
0.000 0.500 0.000
0.000 0.000 0.500
```